1.
Computed, not measured: an optimized crystal structure of Dy2TlS at the PBE-GGA level of DFT.

Results
SG	R3m
uncorrected formation energy	-1.1449	eV per atom

Unit cell a=8.410 b=8.410 c=8.410 alpha=26.11 beta=26.11 gamma=26.11
Fractional positions:
1 Dy 0.000 0.000 0.000
2 Dy 0.202 0.202 0.202
3 Tl 0.768 0.768 0.768
4 S 0.600 0.600 0.600

=====

2.
Computed, not measured: an optimized crystal structure of Dy3TlS4 at the PBE-GGA level of DFT.

Results
SG	P6_3/mmc
uncorrected formation energy	-1.7307	eV per atom

Unit cell a=3.954 b=3.954 c=27.910 alpha=90.00 beta=90.00 gamma=120.00
Fractional positions:
1 Dy 0.000 0.000 0.000
2 Dy 0.000 0.000 0.500
3 Dy 0.333 0.667 0.113
4 Dy 0.333 0.667 0.387
5 Dy 0.667 0.333 0.613
6 Dy 0.667 0.333 0.887
7 Tl 0.333 0.667 0.750
8 Tl 0.667 0.333 0.250
9 S 0.000 0.000 0.167
10 S 0.000 0.000 0.333
11 S 0.000 0.000 0.667
12 S 0.000 0.000 0.833
13 S 0.333 0.667 0.557
14 S 0.333 0.667 0.943
15 S 0.667 0.333 0.057
16 S 0.667 0.333 0.443

=====

3.
Computed, not measured: an optimized crystal structure of Dy2TlS at the PBE-GGA level of DFT.

Results
SG	R-3m
uncorrected formation energy	-1.1820	eV per atom

Unit cell a=8.249 b=8.249 c=8.249 alpha=26.81 beta=26.81 gamma=26.81
Fractional positions:
1 Dy 0.234 0.234 0.234
2 Dy 0.766 0.766 0.766
3 Tl 0.000 0.000 0.000
4 S 0.500 0.500 0.500